Record 1
A relaxed structure of Ta4AlSb, computed with PBE.

Final energy in eV per atom: -8.831
Mass density in g/cm3: 12.1
Fermi-level density of states in states/eV per cell: 20.90

Cell and atoms, written as CIF:
```
data_Ta4AlSb
_space_group_name_H-M_alt 'F -4 3 m'
_space_group_IT_number 216
_space_group_name_Hall 'F -4 2 3'
_cell_length_a 7.8162
_cell_length_b 7.8162
_cell_length_c 7.8162
_cell_angle_alpha 90.00
_cell_angle_beta 90.00
_cell_angle_gamma 90.00
loop_
_atom_site_label
_atom_site_type_symbol
_atom_site_fract_x
_atom_site_fract_y
_atom_site_fract_z
Ta1 Ta 0.1240 0.1240 0.1240
Al1 Al 0.2500 0.2500 0.7500
Sb1 Sb 0.0000 0.0000 0.5000
```

Record 2
A relaxed structure of Sm4Ho4Er, computed with PBE.

Energy of formation in eV per atom: 0.020
Mass density in g/cm3: 8.2
Fermi-level density of states in states/eV per cell: 26.76

Cell and atoms, written as CIF:
```
data_Sm4Ho4Er
_space_group_name_H-M_alt 'I 4/m m m'
_space_group_IT_number 139
_space_group_name_Hall '-I 4 2'
_cell_length_a 10.7119
_cell_length_b 10.7119
_cell_length_c 5.0388
_cell_angle_alpha 90.00
_cell_angle_beta 90.00
_cell_angle_gamma 90.00
loop_
_atom_site_label
_atom_site_type_symbol
_atom_site_fract_x
_atom_site_fract_y
_atom_site_fract_z
Sm1 Sm 0.0000 0.3315 0.0000
Ho1 Ho 0.1659 0.1659 0.5000
Er1 Er 0.0000 0.0000 0.0000
```

Record 3
A relaxed structure of Rb2TcH, computed with PBE.

Final energy in eV per atom: -3.029
Mass density in g/cm3: 3.2
Fermi-level density of states in states/eV per cell: 15.85

Cell and atoms, written as CIF:
```
data_Rb2TcH
_space_group_name_H-M_alt 'I -4 2 d'
_space_group_IT_number 122
_space_group_name_Hall 'I -4 2bw'
_cell_length_a 12.3911
_cell_length_b 12.3911
_cell_length_c 3.6090
_cell_angle_alpha 90.00
_cell_angle_beta 90.00
_cell_angle_gamma 90.00
loop_
_atom_site_label
_atom_site_type_symbol
_atom_site_fract_x
_atom_site_fract_y
_atom_site_fract_z
Rb1 Rb 0.0611 0.7500 0.1250
Tc1 Tc 0.0000 0.0000 0.5000
H1 H 0.0000 0.0000 0.0000
```

Record 4
A relaxed structure of In3PIr, computed with PBE.

Energy of formation in eV per atom: 0.337
Mass density in g/cm3: 7.0
Fermi-level density of states in states/eV per cell: 4.81

Cell and atoms, written as CIF:
```
data_In3PIr
_space_group_name_H-M_alt 'P m -3 m'
_space_group_IT_number 221
_space_group_name_Hall '-P 4 2 3'
_cell_length_a 5.1308
_cell_length_b 5.1308
_cell_length_c 5.1308
_cell_angle_alpha 90.00
_cell_angle_beta 90.00
_cell_angle_gamma 90.00
loop_
_atom_site_label
_atom_site_type_symbol
_atom_site_fract_x
_atom_site_fract_y
_atom_site_fract_z
In1 In 0.0000 0.0000 0.5000
P1 P 0.5000 0.5000 0.5000
Ir1 Ir 0.0000 0.0000 0.0000
```

Record 5
A relaxed structure of K2U2CrSe6, computed with PBE.

Final energy in eV per atom: -6.103
Mass density in g/cm3: 5.3
Fermi-level density of states in states/eV per cell: 35.49

Cell and atoms, written as CIF:
```
data_K2U2CrSe6
_space_group_name_H-M_alt 'C 1 2/m 1'
_space_group_IT_number 12
_space_group_name_Hall '-C 2y'
_cell_length_a 7.0230
_cell_length_b 12.1179
_cell_length_c 8.2224
_cell_angle_alpha 90.00
_cell_angle_beta 106.64
_cell_angle_gamma 90.00
loop_
_atom_site_label
_atom_site_type_symbol
_atom_site_fract_x
_atom_site_fract_y
_atom_site_fract_z
K1 K 0.0000 0.1675 0.0000
U1 U 0.0000 0.3326 0.5000
Cr1 Cr 0.0000 0.0000 0.5000
Se1 Se 0.2293 0.1608 0.6975
Se2 Se 0.2479 0.0000 0.3091
```

Record 6
A relaxed structure of VCd2Ni2, computed with PBE.

Energy of formation in eV per atom: 0.168
Mass density in g/cm3: 8.3
Fermi-level density of states in states/eV per cell: 8.53

Cell and atoms, written as CIF:
```
data_VCd2Ni2
_space_group_name_H-M_alt 'P 4/m b m'
_space_group_IT_number 127
_space_group_name_Hall '-P 4 2ab'
_cell_length_a 6.1029
_cell_length_b 6.1029
_cell_length_c 4.2185
_cell_angle_alpha 90.00
_cell_angle_beta 90.00
_cell_angle_gamma 90.00
loop_
_atom_site_label
_atom_site_type_symbol
_atom_site_fract_x
_atom_site_fract_y
_atom_site_fract_z
V1 V 0.0000 0.0000 0.0000
Cd1 Cd 0.1739 0.3261 0.5000
Ni1 Ni 0.1351 0.6351 0.0000
```

Record 7
A relaxed structure of NaIrF4, computed with PBE.

Final energy in eV per atom: -4.591
Mass density in g/cm3: 4.5
Fermi-level density of states in states/eV per cell: 14.90

Cell and atoms, written as CIF:
```
data_NaIrF4
_space_group_name_H-M_alt 'I -4'
_space_group_IT_number 82
_space_group_name_Hall 'I -4'
_cell_length_a 6.0736
_cell_length_b 6.0736
_cell_length_c 5.8325
_cell_angle_alpha 90.00
_cell_angle_beta 90.00
_cell_angle_gamma 90.00
loop_
_atom_site_label
_atom_site_type_symbol
_atom_site_fract_x
_atom_site_fract_y
_atom_site_fract_z
Na1 Na 0.0000 0.0000 0.0000
Ir1 Ir 0.0000 0.5000 0.2500
F1 F 0.1752 0.2363 0.2500
```

Record 8
A relaxed structure of ZrBePb2, computed with PBE.

Energy of formation in eV per atom: 0.349
Mass density in g/cm3: 9.4
Fermi-level density of states in states/eV per cell: 1.54

Cell and atoms, written as CIF:
```
data_ZrBePb2
_space_group_name_H-M_alt 'P 1 2/m 1'
_space_group_IT_number 10
_space_group_name_Hall '-P 2y'
_cell_length_a 3.3271
_cell_length_b 4.2901
_cell_length_c 6.3727
_cell_angle_alpha 90.00
_cell_angle_beta 90.49
_cell_angle_gamma 90.00
loop_
_atom_site_label
_atom_site_type_symbol
_atom_site_fract_x
_atom_site_fract_y
_atom_site_fract_z
Zr1 Zr 0.0000 0.0000 0.0000
Be1 Be 0.5000 0.0000 0.5000
Pb1 Pb 0.4929 0.5000 0.7458
```